No. 1
# YCu3Ir, optimized geometry, DFT GGA-PBE
data_YCu3Ir
_cell_length_a 4.709
_cell_length_b 4.709
_cell_length_c 4.709
_cell_angle_alpha 90.00
_cell_angle_beta 90.00
_cell_angle_gamma 90.00
_space_group_name_H-M_alt 'P m -3 m'
_space_group_IT_number 221
_space_group_name_Hall '-P 4 2 3'
loop_
_atom_site_label
_atom_site_type_symbol
_atom_site_fract_x
_atom_site_fract_y
_atom_site_fract_z
Y1 Y 0.000 0.000 0.000
Cu1 Cu 0.000 0.000 0.500
Ir1 Ir 0.500 0.500 0.500
# Density (g/cm³): 7.5
# ΔH_f (0 K) (meV/atom): 1854
# V (Å³/cell): 104.4
# E (eV/atom): -3.67
# Energy above the lowest structure with this stoichiometry (meV per atom): 1486.2

No. 2
# Y4CuIr2, optimized geometry, DFT GGA-PBE
data_Y4CuIr2
_cell_length_a 4.8530
_cell_length_b 4.8530
_cell_length_c 23.7425
_cell_angle_alpha 90.00
_cell_angle_beta 90.00
_cell_angle_gamma 120.00
_space_group_name_H-M_alt 'R -3 m'
_space_group_IT_number 166
_space_group_name_Hall '-R 3 2"'
loop_
_atom_site_label
_atom_site_type_symbol
_atom_site_fract_x
_atom_site_fract_y
_atom_site_fract_z
Y1 Y 0.0000 0.0000 0.1229
Y2 Y 0.0000 0.0000 0.3734
Cu1 Cu 0.0000 0.0000 0.5000
Ir1 Ir 0.0000 0.0000 0.2487
# Density (g/cm³): 8.3
# ΔH_f (0 K) (meV/atom): -623
# V (Å³/cell): 484.3
# E (eV/atom): -7.43

No. 3
# Y2Cu2Ir, optimized geometry, DFT GGA-PBE
data_Y2Cu2Ir
_cell_length_a 9.505
_cell_length_b 6.258
_cell_length_c 7.033
_cell_angle_alpha 90.00
_cell_angle_beta 110.71
_cell_angle_gamma 90.00
_space_group_name_H-M_alt 'C 1 2/c 1'
_space_group_IT_number 15
loop_
_space_group_symop_operation_xyz
'x,y,z'
'-x,-y,-z'
'-x,y,-z+1/2'
'x,-y,z+1/2'
'x+1/2,y+1/2,z'
'-x+1/2,-y+1/2,-z'
'-x+1/2,y+1/2,-z+1/2'
'x+1/2,-y+1/2,z+1/2'
loop_
_atom_site_label
_atom_site_type_symbol
_atom_site_fract_x
_atom_site_fract_y
_atom_site_fract_z
Y1 Y 0.169 0.089 0.155
Cu1 Cu 0.087 0.378 0.447
Ir1 Ir 0.000 0.261 0.750
# Density (g/cm³): 8.4
# ΔH_f (0 K) (meV/atom): -448
# V (Å³/cell): 391.3
# E (eV/atom): -6.44
# Energy above the lowest structure with this stoichiometry (meV per atom): 0.0

No. 4
# Y2CuIr2, optimized geometry, DFT GGA-PBE
data_Y2CuIr2
_cell_length_a 9.824
_cell_length_b 5.398
_cell_length_c 7.841
_cell_angle_alpha 90.00
_cell_angle_beta 106.28
_cell_angle_gamma 90.00
_space_group_name_H-M_alt 'C 1 2/c 1'
_space_group_IT_number 15
loop_
_space_group_symop_operation_xyz
'x,y,z'
'-x,-y,-z'
'-x,y,-z+1/2'
'x,-y,z+1/2'
'x+1/2,y+1/2,z'
'-x+1/2,-y+1/2,-z'
'-x+1/2,y+1/2,-z+1/2'
'x+1/2,-y+1/2,z+1/2'
loop_
_atom_site_label
_atom_site_type_symbol
_atom_site_fract_x
_atom_site_fract_y
_atom_site_fract_z
Y1 Y 0.147 0.148 0.149
Cu1 Cu 0.000 0.345 0.750
Ir1 Ir 0.134 0.356 0.509
# Density (g/cm³): 10.4
# ΔH_f (0 K) (meV/atom): -630
# V (Å³/cell): 399.1
# E (eV/atom): -7.58
# Energy above the lowest structure with this stoichiometry (meV per atom): 32.8

No. 5
# Y2CuIr2, optimized geometry, DFT GGA-PBE
data_Y2CuIr2
_cell_length_a 4.221
_cell_length_b 5.719
_cell_length_c 8.258
_cell_angle_alpha 90.00
_cell_angle_beta 90.00
_cell_angle_gamma 90.00
_space_group_name_H-M_alt 'I m m m'
_space_group_IT_number 71
_space_group_name_Hall '-I 2 2'
loop_
_atom_site_label
_atom_site_type_symbol
_atom_site_fract_x
_atom_site_fract_y
_atom_site_fract_z
Y1 Y 0.000 0.000 0.206
Cu1 Cu 0.000 0.500 0.000
Ir1 Ir 0.000 0.272 0.500
# Density (g/cm³): 10.4
# ΔH_f (0 K) (meV/atom): -663
# V (Å³/cell): 199.4
# E (eV/atom): -7.61
# Energy above the lowest structure with this stoichiometry (meV per atom): 0.0

No. 6
# Y2CuIr, optimized geometry, DFT GGA-PBE
data_Y2CuIr
_cell_length_a 4.002
_cell_length_b 4.002
_cell_length_c 5.743
_cell_angle_alpha 90.00
_cell_angle_beta 90.00
_cell_angle_gamma 90.00
_space_group_name_H-M_alt 'P 4 m m'
_space_group_IT_number 99
loop_
_space_group_symop_operation_xyz
'x,y,z'
'-y,x,z'
'-x,-y,z'
'y,-x,z'
'-x,y,z'
'y,x,z'
'x,-y,z'
'-y,-x,z'
loop_
_atom_site_label
_atom_site_type_symbol
_atom_site_fract_x
_atom_site_fract_y
_atom_site_fract_z
Y1 Y 0.000 0.000 0.000
Y2 Y 0.500 0.500 0.420
Cu1 Cu 0.000 0.000 0.514
Ir1 Ir 0.500 0.500 0.929
# Density (g/cm³): 7.8
# ΔH_f (0 K) (meV/atom): -306
# V (Å³/cell): 92.0
# E (eV/atom): -6.78

No. 7
# Y2CuIr, optimized geometry, DFT GGA-PBE
data_Y2CuIr
_cell_length_a 7.578
_cell_length_b 7.578
_cell_length_c 6.230
_cell_angle_alpha 90.00
_cell_angle_beta 90.00
_cell_angle_gamma 90.00
_space_group_name_H-M_alt 'I -4 2 d'
_space_group_IT_number 122
_space_group_name_Hall 'I -4 2bw'
loop_
_atom_site_label
_atom_site_type_symbol
_atom_site_fract_x
_atom_site_fract_y
_atom_site_fract_z
Y1 Y 0.240 0.250 0.125
Cu1 Cu 0.000 0.000 0.500
Ir1 Ir 0.000 0.000 0.000
# Density (g/cm³): 8.0
# ΔH_f (0 K) (meV/atom): -74
# V (Å³/cell): 357.8
# E (eV/atom): -6.54

No. 8
# Y2Cu2Ir, optimized geometry, DFT GGA-PBE
data_Y2Cu2Ir
_cell_length_a 3.440
_cell_length_b 3.440
_cell_length_c 16.916
_cell_angle_alpha 90.00
_cell_angle_beta 90.00
_cell_angle_gamma 90.00
_space_group_name_H-M_alt 'I 4/m m m'
_space_group_IT_number 139
_space_group_name_Hall '-I 4 2'
loop_
_atom_site_label
_atom_site_type_symbol
_atom_site_fract_x
_atom_site_fract_y
_atom_site_fract_z
Y1 Y 0.000 0.000 0.100
Cu1 Cu 0.000 0.500 0.250
Ir1 Ir 0.000 0.000 0.500
# Density (g/cm³): 8.2
# ΔH_f (0 K) (meV/atom): -312
# V (Å³/cell): 200.1
# E (eV/atom): -6.31
# Energy above the lowest structure with this stoichiometry (meV per atom): 136.1

No. 9
# Y2Cu2Ir, optimized geometry, DFT GGA-PBE
data_Y2Cu2Ir
_cell_length_a 10.045
_cell_length_b 4.055
_cell_length_c 10.802
_cell_angle_alpha 90.00
_cell_angle_beta 113.47
_cell_angle_gamma 90.00
_space_group_name_H-M_alt 'C 1 2/m 1'
_space_group_IT_number 12
loop_
_space_group_symop_operation_xyz
'x,y,z'
'-x,-y,-z'
'-x,y,-z'
'x,-y,z'
'x+1/2,y+1/2,z'
'-x+1/2,-y+1/2,-z'
'-x+1/2,y+1/2,-z'
'x+1/2,-y+1/2,z'
loop_
_atom_site_label
_atom_site_type_symbol
_atom_site_fract_x
_atom_site_fract_y
_atom_site_fract_z
Y1 Y 0.015 0.000 0.341
Y2 Y 0.197 0.000 0.123
Cu1 Cu 0.020 0.500 0.893
Cu2 Cu 0.142 0.500 0.550
Ir1 Ir 0.214 0.500 0.322
# Density (g/cm³): 8.2
# ΔH_f (0 K) (meV/atom): -435
# V (Å³/cell): 403.6
# E (eV/atom): -6.43
# Energy above the lowest structure with this stoichiometry (meV per atom): 13.4

No. 10
# Y2CuIr, optimized geometry, DFT GGA-PBE
data_Y2CuIr
_cell_length_a 6.875
_cell_length_b 6.930
_cell_length_c 4.875
_cell_angle_alpha 90.00
_cell_angle_beta 134.68
_cell_angle_gamma 90.00
_space_group_name_H-M_alt 'C 1 2/m 1'
_space_group_IT_number 12
loop_
_space_group_symop_operation_xyz
'x,y,z'
'-x,-y,-z'
'-x,y,-z'
'x,-y,z'
'x+1/2,y+1/2,z'
'-x+1/2,-y+1/2,-z'
'-x+1/2,y+1/2,-z'
'x+1/2,-y+1/2,z'
loop_
_atom_site_label
_atom_site_type_symbol
_atom_site_fract_x
_atom_site_fract_y
_atom_site_fract_z
Y1 Y 0.000 0.250 0.000
Cu1 Cu 0.000 0.000 0.500
Ir1 Ir 0.000 0.500 0.500
# Density (g/cm³): 8.7
# ΔH_f (0 K) (meV/atom): -574
# V (Å³/cell): 165.2
# E (eV/atom): -7.05

No. 11
# Y6CuIr5, optimized geometry, DFT GGA-PBE
data_Y6CuIr5
_cell_length_a 8.375
_cell_length_b 14.731
_cell_length_c 4.900
_cell_angle_alpha 90.00
_cell_angle_beta 125.74
_cell_angle_gamma 90.00
_space_group_name_H-M_alt 'C 1 2/m 1'
_space_group_IT_number 12
loop_
_space_group_symop_operation_xyz
'x,y,z'
'-x,-y,-z'
'-x,y,-z'
'x,-y,z'
'x+1/2,y+1/2,z'
'-x+1/2,-y+1/2,-z'
'-x+1/2,y+1/2,-z'
'x+1/2,-y+1/2,z'
loop_
_atom_site_label
_atom_site_type_symbol
_atom_site_fract_x
_atom_site_fract_y
_atom_site_fract_z
Y1 Y 0.247 0.000 0.247
Y2 Y 0.249 0.168 0.749
Cu1 Cu 0.000 0.500 0.000
Ir1 Ir 0.000 0.000 0.500
Ir2 Ir 0.000 0.166 0.000
Ir3 Ir 0.000 0.335 0.500
# Density (g/cm³): 10.5
# ΔH_f (0 K) (meV/atom): -723
# V (Å³/cell): 490.6
# E (eV/atom): -7.99

No. 12
# Y2CuIr2, optimized geometry, DFT GGA-PBE
data_Y2CuIr2
_cell_length_a 6.927
_cell_length_b 6.927
_cell_length_c 4.181
_cell_angle_alpha 90.00
_cell_angle_beta 90.00
_cell_angle_gamma 90.00
_space_group_name_H-M_alt 'P 4/m b m'
_space_group_IT_number 127
_space_group_name_Hall '-P 4 2ab'
loop_
_atom_site_label
_atom_site_type_symbol
_atom_site_fract_x
_atom_site_fract_y
_atom_site_fract_z
Y1 Y 0.174 0.326 0.000
Cu1 Cu 0.000 0.000 0.500
Ir1 Ir 0.134 0.634 0.500
# Density (g/cm³): 10.4
# ΔH_f (0 K) (meV/atom): -512
# V (Å³/cell): 200.6
# E (eV/atom): -7.46
# Energy above the lowest structure with this stoichiometry (meV per atom): 151.1

No. 13
# YCu3Ir, optimized geometry, DFT GGA-PBE
data_YCu3Ir
_cell_length_a 4.648
_cell_length_b 4.648
_cell_length_c 4.648
_cell_angle_alpha 90.00
_cell_angle_beta 90.00
_cell_angle_gamma 90.00
_space_group_name_H-M_alt 'P m -3 m'
_space_group_IT_number 221
_space_group_name_Hall '-P 4 2 3'
loop_
_atom_site_label
_atom_site_type_symbol
_atom_site_fract_x
_atom_site_fract_y
_atom_site_fract_z
Y1 Y 0.000 0.000 0.000
Cu1 Cu 0.000 0.500 0.500
Ir1 Ir 0.500 0.500 0.500
# Density (g/cm³): 7.8
# ΔH_f (0 K) (meV/atom): 368
# V (Å³/cell): 100.4
# E (eV/atom): -5.15
# Energy above the lowest structure with this stoichiometry (meV per atom): 0.0

No. 14
# YZnCuIr, optimized geometry, DFT GGA-PBE
data_YZnCuIr
_cell_length_a 6.519
_cell_length_b 6.519
_cell_length_c 6.519
_cell_angle_alpha 90.00
_cell_angle_beta 90.00
_cell_angle_gamma 90.00
_space_group_name_H-M_alt 'F -4 3 m'
_space_group_IT_number 216
_space_group_name_Hall 'F -4 2 3'
loop_
_atom_site_label
_atom_site_type_symbol
_atom_site_fract_x
_atom_site_fract_y
_atom_site_fract_z
Y1 Y 0.000 0.000 0.000
Zn1 Zn 0.000 0.000 0.500
Cu1 Cu 0.250 0.250 0.250
Ir1 Ir 0.250 0.250 0.750
# Density (g/cm³): 9.8
# ΔH_f (0 K) (meV/atom): -304
# V (Å³/cell): 277.1
# E (eV/atom): -5.48

No. 15
# Y2Zn12Cu3Ir, optimized geometry, DFT GGA-PBE
data_Y2Zn12Cu3Ir
_cell_length_a 5.4407
_cell_length_b 5.4407
_cell_length_c 36.3492
_cell_angle_alpha 90.00
_cell_angle_beta 90.00
_cell_angle_gamma 120.00
_space_group_name_H-M_alt 'R -3 m'
_space_group_IT_number 166
_space_group_name_Hall '-R 3 2"'
loop_
_atom_site_label
_atom_site_type_symbol
_atom_site_fract_x
_atom_site_fract_y
_atom_site_fract_z
Y1 Y 0.0000 0.0000 0.1452
Zn1 Zn 0.0036 0.5018 0.8899
Zn2 Zn 0.0168 0.5084 0.6139
Cu1 Cu 0.0000 0.5000 0.0000
Ir1 Ir 0.0000 0.0000 0.5000
# Density (g/cm³): 7.2
# ΔH_f (0 K) (meV/atom): -83
# V (Å³/cell): 931.8
# E (eV/atom): -2.83

No. 16
# YZrCuIr, optimized geometry, DFT GGA-PBE
data_YZrCuIr
_cell_length_a 6.753
_cell_length_b 6.753
_cell_length_c 6.753
_cell_angle_alpha 90.00
_cell_angle_beta 90.00
_cell_angle_gamma 90.00
_space_group_name_H-M_alt 'F -4 3 m'
_space_group_IT_number 216
_space_group_name_Hall 'F -4 2 3'
loop_
_atom_site_label
_atom_site_type_symbol
_atom_site_fract_x
_atom_site_fract_y
_atom_site_fract_z
Y1 Y 0.000 0.000 0.000
Zr1 Zr 0.000 0.000 0.500
Cu1 Cu 0.250 0.250 0.250
Ir1 Ir 0.250 0.250 0.750
# Density (g/cm³): 9.4
# ΔH_f (0 K) (meV/atom): -494
# V (Å³/cell): 307.9
# E (eV/atom): -7.49

No. 17
# ZnCu2Ir, optimized geometry, DFT GGA-PBE
data_ZnCu2Ir
_cell_length_a 5.260
_cell_length_b 7.149
_cell_length_c 2.806
_cell_angle_alpha 90.00
_cell_angle_beta 90.00
_cell_angle_gamma 90.00
_space_group_name_H-M_alt 'C m m m'
_space_group_IT_number 65
_space_group_name_Hall '-C 2 2'
loop_
_atom_site_label
_atom_site_type_symbol
_atom_site_fract_x
_atom_site_fract_y
_atom_site_fract_z
Zn1 Zn 0.000 0.000 0.000
Cu1 Cu 0.250 0.250 0.500
Ir1 Ir 0.000 0.500 0.000
# Density (g/cm³): 12.1
# ΔH_f (0 K) (meV/atom): -30
# V (Å³/cell): 105.5
# E (eV/atom): -4.61

No. 18
# Zn6CuIr3, optimized geometry, DFT GGA-PBE
data_Zn6CuIr3
_cell_length_a 7.224
_cell_length_b 4.386
_cell_length_c 9.502
_cell_angle_alpha 90.00
_cell_angle_beta 111.94
_cell_angle_gamma 90.00
_space_group_name_H-M_alt 'P 1 21/m 1'
_space_group_IT_number 11
loop_
_space_group_symop_operation_xyz
'x,y,z'
'-x,-y,-z'
'-x,y+1/2,-z'
'x,-y+1/2,z'
loop_
_atom_site_label
_atom_site_type_symbol
_atom_site_fract_x
_atom_site_fract_y
_atom_site_fract_z
Zn1 Zn 0.031 0.250 0.422
Zn2 Zn 0.157 0.750 0.179
Zn3 Zn 0.245 0.250 0.023
Zn4 Zn 0.334 0.250 0.334
Zn5 Zn 0.361 0.750 0.780
Zn6 Zn 0.439 0.250 0.631
Cu1 Cu 0.463 0.750 0.072
Ir1 Ir 0.060 0.750 0.886
Ir2 Ir 0.148 0.250 0.725
Ir3 Ir 0.270 0.750 0.476
# Density (g/cm³): 12.3
# ΔH_f (0 K) (meV/atom): -151
# V (Å³/cell): 279.3
# E (eV/atom): -3.98

No. 19
# Zn5Cu2Ir, optimized geometry, DFT GGA-PBE
data_Zn5Cu2Ir
_cell_length_a 3.867
_cell_length_b 3.867
_cell_length_c 14.552
_cell_angle_alpha 90.00
_cell_angle_beta 90.00
_cell_angle_gamma 90.00
_space_group_name_H-M_alt 'I 4/m m m'
_space_group_IT_number 139
_space_group_name_Hall '-I 4 2'
loop_
_atom_site_label
_atom_site_type_symbol
_atom_site_fract_x
_atom_site_fract_y
_atom_site_fract_z
Zn1 Zn 0.000 0.000 0.000
Zn2 Zn 0.000 0.500 0.130
Cu1 Cu 0.000 0.000 0.252
Ir1 Ir 0.000 0.000 0.500
# Density (g/cm³): 9.9
# ΔH_f (0 K) (meV/atom): -147
# V (Å³/cell): 217.6
# E (eV/atom): -3.07
# Energy above the lowest structure with this stoichiometry (meV per atom): 0.0

No. 20
# Zn7Cu2Ir2, optimized geometry, DFT GGA-PBE
data_Zn7Cu2Ir2
_cell_length_a 7.219
_cell_length_b 8.806
_cell_length_c 5.665
_cell_angle_alpha 90.00
_cell_angle_beta 90.00
_cell_angle_gamma 90.00
_space_group_name_H-M_alt 'C m m m'
_space_group_IT_number 65
_space_group_name_Hall '-C 2 2'
loop_
_atom_site_label
_atom_site_type_symbol
_atom_site_fract_x
_atom_site_fract_y
_atom_site_fract_z
Zn1 Zn 0.000 0.000 0.000
Zn2 Zn 0.000 0.500 0.271
Zn3 Zn 0.250 0.250 0.278
Cu1 Cu 0.000 0.277 0.000
Ir1 Ir 0.176 0.000 0.500
# Density (g/cm³): 8.9
# ΔH_f (0 K) (meV/atom): 154
# V (Å³/cell): 360.1
# E (eV/atom): -3.01